No. 1
BaSiH2O4: PBEsol geometry, meta-GGA SCAN.

a = 7.031 Å, b = 7.462 Å, c = 7.573 Å
α = 90.01°, β = 89.99°, γ = 77.92°
Sites, in units of the cell vectors:
Ba 0.083 0.791 0.215
Ba 0.917 0.209 0.785
Ba 0.417 0.709 0.715
Ba 0.583 0.291 0.285
Si 0.589 0.761 0.245
Si 0.411 0.239 0.755
Si 0.089 0.261 0.255
Si 0.911 0.739 0.745
H 0.778 0.591 0.015
H 0.222 0.409 0.985
H 0.278 0.092 0.485
H 0.722 0.908 0.515
H 0.101 0.522 0.577
H 0.899 0.478 0.423
H 0.601 0.022 0.922
H 0.399 0.978 0.078
O 0.699 0.912 0.328
O 0.301 0.088 0.672
O 0.954 0.170 0.127
O 0.046 0.830 0.873
O 0.754 0.593 0.155
O 0.246 0.407 0.845
O 0.454 0.846 0.065
O 0.546 0.154 0.935
O 0.954 0.346 0.435
O 0.046 0.654 0.565
O 0.199 0.412 0.172
O 0.801 0.588 0.828
O 0.454 0.670 0.373
O 0.546 0.330 0.627
O 0.254 0.093 0.345
O 0.746 0.907 0.655

Results
Symmetry: P2_1/c (14)
Uncorrected energy, eV for the cell shown: -402.6

***

No. 2
BaSnH6O6: PBEsol geometry, meta-GGA SCAN.

a = 6.350 Å, b = 9.304 Å, c = 10.382 Å
α = 112.88°, β = 90.00°, γ = 90.00°
Sites, in units of the cell vectors:
Ba 0.498 0.544 0.718
Ba 0.002 0.044 0.218
Ba 0.502 0.456 0.282
Ba 0.998 0.956 0.782
Sn 0.500 0.000 0.000
Sn 0.000 0.500 0.500
Sn 0.000 0.500 0.000
Sn 0.500 0.000 0.500
H 0.327 0.215 0.712
H 0.173 0.715 0.212
H 0.673 0.785 0.288
H 0.827 0.285 0.788
H 0.733 0.276 0.470
H 0.767 0.776 0.970
H 0.267 0.724 0.530
H 0.233 0.224 0.030
H 0.426 0.845 0.160
H 0.074 0.345 0.660
H 0.574 0.155 0.840
H 0.926 0.655 0.340
H 0.619 0.611 0.038
H 0.881 0.111 0.538
H 0.381 0.389 0.962
H 0.119 0.889 0.462
H 0.498 0.869 0.729
H 0.002 0.369 0.229
H 0.502 0.131 0.271
H 0.998 0.631 0.771
H 0.774 0.290 0.030
H 0.726 0.790 0.530
H 0.226 0.710 0.970
H 0.274 0.210 0.470
O 0.478 0.191 0.697
O 0.022 0.691 0.197
O 0.522 0.809 0.303
O 0.978 0.309 0.803
O 0.712 0.388 0.482
O 0.788 0.888 0.982
O 0.288 0.612 0.518
O 0.212 0.112 0.018
O 0.345 0.858 0.082
O 0.155 0.358 0.582
O 0.655 0.142 0.918
O 0.845 0.642 0.418
O 0.715 0.590 0.959
O 0.785 0.090 0.459
O 0.285 0.410 0.041
O 0.215 0.910 0.541
O 0.407 0.852 0.802
O 0.093 0.352 0.302
O 0.593 0.148 0.198
O 0.907 0.648 0.698
O 0.840 0.388 0.103
O 0.660 0.888 0.603
O 0.160 0.612 0.897
O 0.340 0.112 0.397

Results
Symmetry: P2_1/c (14)
Uncorrected energy, eV for the cell shown: -622.3

***

No. 3
BaTaH2O: PBEsol geometry, meta-GGA SCAN.

a = 3.765 Å, b = 4.993 Å, c = 4.993 Å
α = 90.00°, β = 90.00°, γ = 90.00°
Site moments in Bohr magnetons follow the coordinates.
Sites, in units of the cell vectors:
H 0.000 0.000 0.500  0.02
H 0.000 0.500 0.000  0.02
Ba 0.500 0.500 0.500  0.06
O 0.000 0.000 0.000  -0.02
Ta 0.500 0.000 0.000  0.73

Results
Symmetry: P4/mmm (123)
Uncorrected energy, eV for the cell shown: -119.2

***

No. 4
BaH3Os: PBEsol geometry, meta-GGA SCAN.

a = 3.872 Å, b = 3.872 Å, c = 3.872 Å
α = 90.00°, β = 90.00°, γ = 90.00°
Site moments in Bohr magnetons follow the coordinates.
Sites, in units of the cell vectors:
H 0.000 0.500 0.000  0.00
H 0.000 0.000 0.500  0.00
H 0.500 0.000 0.000  0.00
Os 0.000 0.000 0.000  0.43
Ba 0.500 0.500 0.500  0.00

Results
Symmetry: Pm-3m (221)
Uncorrected energy, eV for the cell shown: -122.2